(1)
{
  "formula": "BeNiBiIr",
  "functional": "PBE-GGA",
  "state": "relaxed",
  "density_g_cm3": 12.98,
  "energy_ev_per_atom": -5.183,
  "crystal_system": "cubic",
  "lattice_angstrom": [[0.000, 3.107, 3.107], [3.107, 0.000, 3.107], [3.107, 3.107, 0.000]],
  "species": ["Be", "Ni", "Bi", "Ir"],
  "fractional_positions": [[0.000, 0.000, 0.000], [0.500, 0.500, 0.500], [0.250, 0.250, 0.250], [0.750, 0.750, 0.750]]
}


(2)
{
  "formula": "NbTl2B",
  "functional": "PBE-GGA",
  "state": "relaxed",
  "density_g_cm3": 10.83,
  "energy_ev_per_atom": -3.949,
  "crystal_system": "cubic",
  "lattice_angstrom": [[0.000, 3.400, 3.400], [3.400, 0.000, 3.400], [3.400, 3.400, 0.000]],
  "species": ["Nb", "Tl", "Tl", "B"],
  "fractional_positions": [[0.000, 0.000, 0.000], [0.500, 0.500, 0.500], [0.750, 0.750, 0.750], [0.250, 0.250, 0.250]]
}


(3)
{
  "formula": "Nd2Be2SiSn",
  "functional": "PBE-GGA",
  "state": "relaxed",
  "density_g_cm3": 5.98,
  "energy_ev_per_atom": -4.915,
  "crystal_system": "hexagonal",
  "lattice_angstrom": [[4.108, 0.000, 0.000], [-2.054, 3.557, 0.000], [0.000, 0.000, 8.620]],
  "species": ["Nd", "Nd", "Be", "Be", "Si", "Sn"],
  "fractional_positions": [[0.000, 0.000, 0.239], [0.000, 0.000, 0.761], [0.333, 0.667, 0.500], [0.667, 0.333, 0.000], [0.333, 0.667, 0.000], [0.667, 0.333, 0.500]]
}


(4)
{
  "formula": "LiNbSO",
  "functional": "PBE-GGA",
  "state": "relaxed",
  "density_g_cm3": 4.73,
  "relative_energy_mev_per_atom": 135,
  "crystal_system": "orthorhombic",
  "lattice_angstrom": [[8.148, 0.000, 0.000], [0.000, 5.169, 0.000], [0.000, 0.000, 4.932]],
  "species": ["Li", "Li", "Li", "Li", "Nb", "Nb", "Nb", "Nb", "S", "S", "S", "S", "O", "O", "O", "O"],
  "fractional_positions": [[0.023, 0.250, 0.000], [0.023, 0.250, 0.500], [0.977, 0.750, 0.000], [0.977, 0.750, 0.500], [0.340, 0.560, 0.250], [0.340, 0.940, 0.750], [0.660, 0.060, 0.250], [0.660, 0.440, 0.750], [0.337, 0.051, 0.250], [0.337, 0.449, 0.750], [0.663, 0.551, 0.250], [0.663, 0.949, 0.750], [0.103, 0.533, 0.250], [0.103, 0.967, 0.750], [0.897, 0.033, 0.250], [0.897, 0.467, 0.750]]
}


(5)
{
  "formula": "Nd4Br3NCl2",
  "functional": "PBE-GGA",
  "state": "relaxed",
  "density_g_cm3": 5.35,
  "energy_ev_per_atom": -5.337,
  "crystal_system": "monoclinic",
  "lattice_angstrom": [[9.006, -1.925, 0.000], [9.006, 1.925, 0.000], [-2.034, 0.000, 8.069]],
  "species": ["Nd", "Nd", "Nd", "Nd", "Br", "Br", "Br", "N", "Cl", "Cl"],
  "fractional_positions": [[0.000, 0.000, 0.204], [0.000, 0.000, 0.796], [0.360, 0.360, 0.922], [0.640, 0.640, 0.078], [0.171, 0.171, 0.825], [0.500, 0.500, 0.500], [0.829, 0.829, 0.175], [0.500, 0.500, 0.000], [0.160, 0.160, 0.334], [0.840, 0.840, 0.666]]
}


(6)
{
  "formula": "ZnTe",
  "functional": "PBE-GGA",
  "state": "relaxed",
  "density_g_cm3": 6.11,
  "energy_ev_per_atom": -2.280,
  "crystal_system": "orthorhombic",
  "lattice_angstrom": [[5.207, 0.000, 0.000], [0.000, 13.736, 0.000], [0.000, 0.000, 5.868]],
  "species": ["Zn", "Zn", "Zn", "Zn", "Zn", "Zn", "Zn", "Zn", "Te", "Te", "Te", "Te", "Te", "Te", "Te", "Te"],
  "fractional_positions": [[0.250, 0.046, 0.243], [0.250, 0.454, 0.243], [0.250, 0.658, 0.630], [0.250, 0.842, 0.630], [0.750, 0.158, 0.370], [0.750, 0.342, 0.370], [0.750, 0.546, 0.757], [0.750, 0.954, 0.757], [0.250, 0.026, 0.744], [0.250, 0.250, 0.168], [0.250, 0.474, 0.744], [0.250, 0.750, 0.237], [0.750, 0.250, 0.763], [0.750, 0.526, 0.256], [0.750, 0.750, 0.832], [0.750, 0.974, 0.256]]
}


Repeat the second record exactly.
{
  "formula": "NbTl2B",
  "functional": "PBE-GGA",
  "state": "relaxed",
  "density_g_cm3": 10.83,
  "energy_ev_per_atom": -3.949,
  "crystal_system": "cubic",
  "lattice_angstrom": [[0.000, 3.400, 3.400], [3.400, 0.000, 3.400], [3.400, 3.400, 0.000]],
  "species": ["Nb", "Tl", "Tl", "B"],
  "fractional_positions": [[0.000, 0.000, 0.000], [0.500, 0.500, 0.500], [0.750, 0.750, 0.750], [0.250, 0.250, 0.250]]
}


What did the second record say?
{
  "formula": "NbTl2B",
  "functional": "PBE-GGA",
  "state": "relaxed",
  "density_g_cm3": 10.83,
  "energy_ev_per_atom": -3.949,
  "crystal_system": "cubic",
  "lattice_angstrom": [[0.000, 3.400, 3.400], [3.400, 0.000, 3.400], [3.400, 3.400, 0.000]],
  "species": ["Nb", "Tl", "Tl", "B"],
  "fractional_positions": [[0.000, 0.000, 0.000], [0.500, 0.500, 0.500], [0.750, 0.750, 0.750], [0.250, 0.250, 0.250]]
}


Q: What is the formula in the fourth record?
A: LiNbSO